A relaxed CrClF crystal, computed with GGA+U.

Properties
Energy ... -33.1 eV/cell
Energy relative to the lowest polymorph listed for this composition ... 50 meV/atom

a = 3.8892 Å, b = 4.5939 Å, c = 6.8398 Å
α = 90.00°, β = 90.17°, γ = 90.00°
Sites, in units of the cell vectors:
Cr 0.2491 0.2500 0.2742
Cr 0.7509 0.7500 0.7258
Cl 0.2491 0.7500 0.1645
Cl 0.7509 0.2500 0.8355
F 0.2505 0.7500 0.6623
F 0.7495 0.2500 0.3377